(1)
LiSbAs | PBE-GGA | optimized geometry

Cell: 4.0522 3.9050 4.5362 Å, 90.00 89.97 90.00°
With the nearest neighbours (Å) after each atom.
Sites, in units of the cell vectors:
As: 0.6582 0.0000 0.1268  2 Sb 2.67, 4 Li 2.85
Sb: 0.6585 0.5000 0.5280  2 As 2.67
Li: 0.1588 0.5000 0.0297  4 As 2.85, 4 Sb 3.04-3.05

Computed properties:
ΔE_f (raw) (eV per atom): -0.225
Fermi-level density of states (states/eV/atom): 0.284
Space-group type: No. 25
Final energy (eV per atom): -3.786

---

(2)
AlPbW2S | PBE-GGA | optimized geometry

Cell: 4.5116 5.4813 4.5116 Å, 90.00 90.00 90.00°
With the nearest neighbours (Å) after each atom.
Sites, in units of the cell vectors:
W: 0.0000 0.0000 0.5000  2 S 2.26
Pb: 0.0000 0.5000 0.0000  2 S 2.74
S: 0.0000 0.0000 0.0000  4 W 2.26
Al: 0.5000 0.5000 0.5000  4 Pb 3.19, 8 W 3.55
W: 0.5000 0.0000 0.0000  2 S 2.26

Computed properties:
ΔE_f (raw) (eV per atom): 1.208
Fermi-level density of states (states/eV/atom): 1.444
Space-group type: No. 123
Final energy (eV per atom): -6.289

---

(3)
Tm12Al3Tc5 | PBE-GGA | optimized geometry

Cell: 14.2655 14.2655 14.2655 Å, 109.47 109.47 109.47°
With the nearest neighbours (Å) after each atom.
Sites, in units of the cell vectors:
Tm: 0.5857 0.6151 0.4086  2 Tc 2.51-2.65
Tm: 0.1772 0.0914 0.7066  2 Tc 2.51-2.65
Tc: 0.3750 0.1250 0.7500  4 Tm 2.51
Tm: 0.8228 0.9143 0.0294  2 Tc 2.51-2.65
Tm: 0.5857 0.9706 0.6772  2 Tc 2.51-2.65
Tm: 0.1772 0.0857 0.9706  2 Tc 2.51-2.65
Tm: 0.2934 0.4086 0.8228  2 Tc 2.51-2.65
Tc: 0.5000 0.5000 0.5000  6 Tm 2.65
Tm: 0.4143 0.0294 0.3228  2 Tc 2.51-2.65
Tc: 0.0000 0.0000 0.5000  6 Tm 2.65
Tm: 0.8849 0.2934 0.4706  2 Tc 2.51-2.65
Tm: 0.5914 0.8849 0.4143  2 Tc 2.51-2.65
Tm: 0.0294 0.4143 0.8228  2 Tc 2.51-2.65
Tm: 0.5914 0.7066 0.6772  2 Tc 2.51-2.65
Tm: 0.5294 0.2066 0.1151  2 Tc 2.51-2.65
Tm: 0.0857 0.1772 0.4706  2 Tc 2.51-2.65
Tc: 0.5000 0.5000 0.0000  6 Tm 2.65
Tc: 0.1250 0.3750 0.2500  4 Tm 2.51
Tm: 0.3849 0.4143 0.0914  2 Tc 2.51-2.65
Tc: 0.6250 0.7500 0.8750  4 Tm 2.51
Tc: 0.6250 0.8750 0.2500  4 Tm 2.51
Tm: 0.3228 0.7934 0.4086  2 Tc 2.51-2.65
Tc: 0.5000 0.0000 0.5000  6 Tm 2.65
Tm: 0.9086 0.0857 0.6151  2 Tc 2.51-2.65
Tm: 0.4086 0.1151 0.5857  2 Tc 2.51-2.65
Al: 0.6250 0.2500 0.3750  8 Tm 3.18-3.24
Al: 0.7500 0.8750 0.6250  8 Tm 3.18-3.24
Tm: 0.9706 0.5857 0.1772  2 Tc 2.51-2.65
Tm: 0.3228 0.5294 0.4143  2 Tc 2.51-2.65
Tm: 0.2066 0.6772 0.0914  2 Tc 2.51-2.65
Tm: 0.6772 0.4706 0.5857  2 Tc 2.51-2.65
Tc: 0.7500 0.6250 0.3750  4 Tm 2.51
Tm: 0.8228 0.9086 0.2934  2 Tc 2.51-2.65
Al: 0.1250 0.8750 0.7500  8 Tm 3.18-3.24
Tm: 0.1151 0.7066 0.5294  2 Tc 2.51-2.65
Tc: 0.0000 0.5000 0.5000  6 Tm 2.65
Tm: 0.0914 0.1772 0.2066  2 Tc 2.51-2.65
Tc: 0.8750 0.2500 0.6250  4 Tm 2.51
Tm: 0.4706 0.6772 0.0857  2 Tc 2.51-2.65
Al: 0.8750 0.7500 0.1250  8 Tm 3.18-3.24
Tm: 0.2934 0.8849 0.9706  2 Tc 2.51-2.65
Tm: 0.0294 0.6151 0.7066  2 Tc 2.51-2.65
Tc: 0.1250 0.7500 0.3750  4 Tm 2.51
Tm: 0.5294 0.3228 0.9143  2 Tc 2.51-2.65
Tm: 0.6772 0.2066 0.5914  2 Tc 2.51-2.65
Tm: 0.6151 0.0294 0.2066  2 Tc 2.51-2.65
Tc: 0.5000 0.0000 0.0000  6 Tm 2.65
Tc: 0.3750 0.2500 0.1250  4 Tm 2.51
Tm: 0.7066 0.5914 0.1772  2 Tc 2.51-2.65
Tm: 0.0857 0.9086 0.1151  2 Tc 2.51-2.65
Tm: 0.0914 0.9143 0.3849  2 Tc 2.51-2.65
Al: 0.3750 0.7500 0.6250  8 Tm 3.18-3.24
Al: 0.2500 0.1250 0.3750  8 Tm 3.18-3.24
Tm: 0.7934 0.4706 0.3849  2 Tc 2.51-2.65
Tc: 0.2500 0.3750 0.6250  4 Tm 2.51
Al: 0.2500 0.6250 0.8750  8 Tm 3.18-3.24
Al: 0.3750 0.6250 0.2500  8 Tm 3.18-3.24
Tm: 0.9143 0.0914 0.8849  2 Tc 2.51-2.65
Al: 0.8750 0.1250 0.2500  8 Tm 3.18-3.24
Tm: 0.7066 0.1151 0.0294  2 Tc 2.51-2.65
Tm: 0.4706 0.7934 0.8849  2 Tc 2.51-2.65
Tc: 0.0000 0.0000 0.0000  6 Tm 2.65
Tm: 0.1151 0.4086 0.0857  2 Tc 2.51-2.65
Tm: 0.9143 0.8228 0.5294  2 Tc 2.51-2.65
Tc: 0.8750 0.6250 0.7500  4 Tm 2.51
Tm: 0.9086 0.8228 0.7934  2 Tc 2.51-2.65
Tc: 0.2500 0.8750 0.1250  4 Tm 2.51
Tm: 0.8849 0.5914 0.9143  2 Tc 2.51-2.65
Tm: 0.9706 0.3849 0.2934  2 Tc 2.51-2.65
Tc: 0.7500 0.1250 0.8750  4 Tm 2.51
Tm: 0.6151 0.5857 0.9086  2 Tc 2.51-2.65
Tm: 0.3849 0.9706 0.7934  2 Tc 2.51-2.65
Tm: 0.4086 0.2934 0.3228  2 Tc 2.51-2.65
Tm: 0.7934 0.3228 0.9086  2 Tc 2.51-2.65
Al: 0.7500 0.3750 0.1250  8 Tm 3.18-3.24
Tc: 0.0000 0.5000 0.0000  6 Tm 2.65
Tm: 0.4143 0.3849 0.5914  2 Tc 2.51-2.65
Al: 0.6250 0.3750 0.7500  8 Tm 3.18-3.24
Tm: 0.2066 0.5294 0.6151  2 Tc 2.51-2.65
Al: 0.1250 0.2500 0.8750  8 Tm 3.18-3.24

Computed properties:
Fermi-level density of states (states/eV/atom): 0.880
Space-group type: No. 230
Formation energy from the elements (eV/f.u.): 9.95
Final energy (eV per atom): -5.338

---

(4)
Sb2PtSe | PBE-GGA | optimized geometry

Cell: 3.4292 5.3809 4.7795 Å, 90.00 90.00 90.00°
With the nearest neighbours (Å) after each atom.
Sites, in units of the cell vectors:
Sb: 0.5000 0.5000 0.0000  4 Pt 2.94, 4 Sb 3.19
Pt: 0.0000 0.5000 0.5000  4 Sb 2.94, 4 Se 3.19
Sb: 0.0000 0.0000 0.0000  4 Se 2.94, 4 Sb 3.19
Se: 0.5000 0.0000 0.5000  4 Sb 2.94, 4 Pt 3.19

Computed properties:
ΔE_f (raw) (eV per atom): 0.255
Fermi-level density of states (states/eV/atom): 0.526
Space-group type: No. 47
Final energy (eV per atom): -4.188

---

(5)
Ba6SbS3Br2 | PBE-GGA | optimized geometry

Cell: 8.0935 8.0935 8.2610 Å, 99.39 99.39 120.00°
With the nearest neighbours (Å) after each atom.
Sites, in units of the cell vectors:
Sb: 0.0000 0.0000 0.0000  6 Ba 3.40
S: 0.5000 0.5000 0.5000  6 Ba 3.20-3.27
Ba: 0.0915 0.4180 0.2746  3 S 3.20-3.26, 1 Sb 3.40, 2 Br 3.47
Ba: 0.4180 0.0915 0.2746  3 S 3.20-3.26, 1 Sb 3.40, 2 Br 3.47
S: 0.1675 0.8325 0.5000  6 Ba 3.20-3.26
Ba: 0.9085 0.5820 0.7254  3 S 3.20-3.26, 1 Sb 3.40, 2 Br 3.47
Br: 0.6664 0.3336 0.0000  6 Ba 3.46-3.47
Ba: 0.2351 0.2351 0.7259  3 S 3.21-3.27, 1 Sb 3.40, 2 Br 3.46
Ba: 0.7649 0.7649 0.2741  3 S 3.21-3.27, 1 Sb 3.40, 2 Br 3.46
Ba: 0.5820 0.9085 0.7254  3 S 3.20-3.26, 1 Sb 3.40, 2 Br 3.47
S: 0.8325 0.1675 0.5000  6 Ba 3.20-3.26
Br: 0.3336 0.6664 0.0000  6 Ba 3.46-3.47

Computed properties:
ΔE_f (raw) (eV per atom): -1.823
Fermi-level density of states (states/eV/atom): 0.306
Space-group type: No. 12
Final energy (eV per atom): -4.439

---

(6)
LaSmGaOs | PBE-GGA | optimized geometry

Cell: 5.1096 5.1096 5.1096 Å, 60.00 60.00 60.00°
With the nearest neighbours (Å) after each atom.
Sites, in units of the cell vectors:
Sm: 0.0000 0.0000 0.0000  4 Ga 3.13, 4 Os 3.13
Ga: 0.2500 0.2500 0.2500  4 La 3.13, 4 Sm 3.13
La: 0.5000 0.5000 0.5000  4 Os 3.13, 4 Ga 3.13
Os: 0.7500 0.7500 0.7500  4 Sm 3.13, 4 La 3.13

Computed properties:
Fermi-level density of states (states/eV/atom): 0.526
Space-group type: No. 216
Formation energy from the elements (eV/f.u.): -0.83
Final energy (eV per atom): -6.182

---

(7)
CuNiW | PBE-GGA | optimized geometry

Cell: 4.1590 4.1590 2.5635 Å, 90.00 90.00 120.00°
With the nearest neighbours (Å) after each atom.
Sites, in units of the cell vectors:
Cu: 0.0000 0.0000 0.1669  3 Ni 2.40, 2 Cu 2.56
W: 0.3333 0.6667 0.6666  2 W 2.56, 6 Cu 2.72, 6 Ni 2.72
Ni: 0.6667 0.3333 0.1664  3 Cu 2.40, 2 Ni 2.56

Computed properties:
Fermi-level density of states (states/eV/atom): 0.665
Space-group type: No. 187
Polymorph energy (0 for the lowest one) (eV per atom): 0.000
Formation energy from the elements (eV/f.u.): 0.30
Final energy (eV per atom): -7.510

---

(8)
ScMn2Hg | PBE-GGA | optimized geometry

Cell: 4.6718 4.6718 4.6718 Å, 60.00 60.00 60.00°
With the nearest neighbours (Å) after each atom.
Sites, in units of the cell vectors:
Sc: 0.7500 0.7500 0.7500  4 Mn 2.86, 4 Hg 2.86
Mn: 0.2500 0.2500 0.2500  4 Hg 2.86, 4 Mn 2.86
Mn: 0.0000 0.0000 0.0000  4 Mn 2.86, 4 Sc 2.86
Hg: 0.5000 0.5000 0.5000  4 Mn 2.86, 4 Sc 2.86

Computed properties:
Fermi-level density of states (states/eV/atom): 1.628
Space-group type: No. 216
Formation energy from the elements (eV/f.u.): 0.81
Final energy (eV per atom): -6.041

---

(9)
MgCo2Rh | PBE-GGA | optimized geometry

Cell: 4.2084 4.2084 4.2084 Å, 60.00 60.00 60.00°
With the nearest neighbours (Å) after each atom.
Sites, in units of the cell vectors:
Co: 0.2500 0.2500 0.2500  4 Co 2.58, 4 Mg 2.58
Mg: 0.5000 0.5000 0.5000  4 Co 2.58, 4 Rh 2.58
Rh: 0.7500 0.7500 0.7500  4 Mg 2.58, 4 Co 2.58
Co: 0.0000 0.0000 0.0000  4 Co 2.58, 4 Rh 2.58

Computed properties:
Fermi-level density of states (states/eV/atom): 0.982
Space-group type: No. 216
Formation energy from the elements (eV/f.u.): 0.01
Final energy (eV per atom): -5.787

---

(10)
AlS | PBE-GGA | optimized geometry

Cell: 7.6044 7.6044 7.6044 Å, 90.00 90.00 90.00°
With the nearest neighbours (Å) after each atom.
Sites, in units of the cell vectors:
S: 0.1941 0.8059 0.1941  4 Al 2.31-2.56
S: 0.1941 0.1941 0.8059  4 Al 2.31-2.56
S: 0.3059 0.3059 0.3059  4 Al 2.31-2.56
Al: 0.8698 0.8698 0.1302  4 S 2.31-2.56
Al: 0.3698 0.3698 0.6302  4 S 2.31-2.56
S: 0.3059 0.6941 0.6941  4 Al 2.31-2.56
S: 0.6941 0.3059 0.6941  4 Al 2.31-2.56
Al: 0.8698 0.1302 0.8698  4 S 2.31-2.56
Al: 0.3698 0.6302 0.3698  4 S 2.31-2.56
Al: 0.6302 0.6302 0.6302  4 S 2.31-2.56
Al: 0.1302 0.1302 0.1302  4 S 2.31-2.56
S: 0.8059 0.1941 0.1941  4 Al 2.31-2.56
Al: 0.1302 0.8698 0.8698  4 S 2.31-2.56
S: 0.6941 0.6941 0.3059  4 Al 2.31-2.56
S: 0.8059 0.8059 0.8059  4 Al 2.31-2.56
Al: 0.6302 0.3698 0.3698  4 S 2.31-2.56

Computed properties:
ΔE_f (raw) (eV per atom): -0.316
Fermi-level density of states (states/eV/atom): 0.530
Space-group type: No. 217
Final energy (eV per atom): -4.251

---

(11)
AgSeIN2 | PBE-GGA | optimized geometry

Cell: 3.9007 3.9007 8.0394 Å, 90.00 90.00 90.00°
With the nearest neighbours (Å) after each atom.
Sites, in units of the cell vectors:
Ag: 0.5000 0.5000 0.5000  4 I 2.76
N: 0.5000 0.0000 0.0000  2 Se 1.95
Se: 0.0000 0.0000 0.0000  4 N 1.95
N: 0.0000 0.5000 0.0000  2 Se 1.95
I: 0.0000 0.0000 0.5000  4 Ag 2.76

Computed properties:
ΔE_f (raw) (eV per atom): 1.428
Fermi-level density of states (states/eV/atom): 0.450
Space-group type: No. 123
Polymorph energy (0 for the lowest one) (eV per atom): 0.000
Final energy (eV per atom): -3.479

---

(12)
Nd2AgP3Rh12 | PBE-GGA | optimized geometry

Cell: 6.7407 6.7407 6.7407 Å, 83.32 83.32 83.32°
With the nearest neighbours (Å) after each atom.
Sites, in units of the cell vectors:
Rh: 0.3639 0.3639 0.9108  2 P 2.55, 1 Rh 2.72
Rh: 0.6361 0.6361 0.0892  2 P 2.55, 1 Rh 2.72
Rh: 0.3639 0.9108 0.3639  2 P 2.55, 1 Rh 2.72
Ag: 0.0000 0.0000 0.0000  6 Rh 2.63
P: 0.5000 0.0000 0.0000  2 Rh 2.21
P: 0.0000 0.0000 0.5000  2 Rh 2.21
Rh: 0.8269 0.8269 0.3344  1 P 2.21
Rh: 0.3344 0.8269 0.8269  1 P 2.21
Rh: 0.8269 0.3344 0.8269  1 P 2.21
Rh: 0.6656 0.1731 0.1731  1 P 2.21
Rh: 0.0892 0.6361 0.6361  2 P 2.55, 1 Rh 2.72
Rh: 0.1731 0.6656 0.1731  1 P 2.21
Rh: 0.9108 0.3639 0.3639  2 P 2.55, 1 Rh 2.72
Rh: 0.1731 0.1731 0.6656  1 P 2.21
Nd: 0.6241 0.6241 0.6241  3 Rh 2.60
P: 0.0000 0.5000 0.0000  2 Rh 2.21
Nd: 0.3759 0.3759 0.3759  3 Rh 2.60
Rh: 0.6361 0.0892 0.6361  2 P 2.55, 1 Rh 2.72

Computed properties:
Fermi-level density of states (states/eV/atom): 1.040
Space-group type: No. 166
Formation energy from the elements (eV/f.u.): -2.57
Final energy (eV per atom): -6.634